Here is a crystal of ErSeF relaxed with PBEsol from Alexandria. Energies are from meta-GGA SCAN.

## Properties
Symmetry: Pnma
Raw formation energy (eV per formula unit): -9.40

a = 9.8338 Å, b = 3.9886 Å, c = 18.4920 Å
α = 90.00°, β = 90.00°, γ = 90.00°
With the nearest neighbours (Å) after each atom.
Atoms (fractional coordinates):
Er  0.0749  0.2500  0.0808  6 F 2.23-2.37
Er  0.0905  0.2500  0.4164  6 Se 2.79-2.82
Er  0.2397  0.7500  0.2388  3 F 2.22-2.24
Er  0.2603  0.2500  0.7388  3 F 2.22-2.24
Er  0.4095  0.7500  0.9164  6 Se 2.79-2.82
Er  0.4251  0.7500  0.5808  6 F 2.23-2.37
Er  0.5749  0.2500  0.4192  6 F 2.23-2.37
Er  0.5905  0.2500  0.0836  6 Se 2.79-2.82
Er  0.7397  0.7500  0.2612  3 F 2.22-2.24
Er  0.7603  0.2500  0.7612  3 F 2.22-2.24
Er  0.9095  0.7500  0.5836  6 Se 2.79-2.82
Er  0.9251  0.7500  0.9192  6 F 2.23-2.37
Se  0.0010  0.7500  0.3213  4 Er 2.80
Se  0.1655  0.7500  0.5144  4 Er 2.79-2.83
Se  0.1658  0.7500  0.8394  4 Er 2.79-2.88, 1 F 3.05
Se  0.3342  0.2500  0.3394  4 Er 2.79-2.88, 1 F 3.05
Se  0.3345  0.2500  0.0144  4 Er 2.79-2.83
Se  0.4990  0.2500  0.8213  4 Er 2.80
Se  0.5010  0.7500  0.1787  4 Er 2.80
Se  0.6655  0.7500  0.9856  4 Er 2.79-2.83
Se  0.6658  0.7500  0.6606  4 Er 2.79-2.88, 1 F 3.05
Se  0.8342  0.2500  0.1606  4 Er 2.79-2.88, 1 F 3.05
Se  0.8345  0.2500  0.4856  4 Er 2.79-2.83
Se  0.9990  0.2500  0.6787  4 Er 2.80
F  0.0122  0.2500  0.9650  3 Er 2.23-2.33, 3 F 2.35-2.39
F  0.1521  0.7500  0.1269  3 Er 2.24-2.30, 3 F 2.35-2.39
F  0.1804  0.2500  0.1960  3 Er 2.22-2.37, 2 F 2.39
F  0.3196  0.7500  0.6960  3 Er 2.22-2.37, 2 F 2.39
F  0.3479  0.2500  0.6269  3 Er 2.24-2.30, 3 F 2.35-2.39
F  0.4878  0.7500  0.4650  3 Er 2.23-2.33, 3 F 2.35-2.39
F  0.5122  0.2500  0.5350  3 Er 2.23-2.33, 3 F 2.35-2.39
F  0.6521  0.7500  0.3731  3 Er 2.24-2.30, 3 F 2.35-2.39
F  0.6804  0.2500  0.3040  3 Er 2.22-2.37, 2 F 2.39
F  0.8196  0.7500  0.8040  3 Er 2.22-2.37, 2 F 2.39
F  0.8479  0.2500  0.8731  3 Er 2.24-2.30, 3 F 2.35-2.39
F  0.9878  0.7500  0.0350  3 Er 2.23-2.33, 3 F 2.35-2.39